Entry from OQMD: crystalline HoTm3In2C2 at its relaxed geometry (PBE).

```
HoTm3In2C2
1.0
-1.6372 -2.0987 2.3576
2.9421 1.7654 0.9332
-9.0153 12.4676 4.8374
In C Tm Ho
2 2 3 1
direct
0.3333 0.6667 0.7487 In
0.0000 0.0000 0.2502 In
0.6667 0.3333 0.0009 C
0.6667 0.3333 0.4998 C
0.3333 0.6667 0.0832 Tm
0.0000 0.0000 0.5817 Tm
0.3333 0.6667 0.4178 Tm
0.0000 0.0000 0.9177 Ho
```

Output
The calculation puts the total energy at -45.38 eV per formula unit. The calculation puts the total magnetization at 0.1 μB per formula unit.

Entry from OQMD: crystalline Ho3TmIn2C2 at its relaxed geometry (PBE).

```
Ho3TmIn2C2
1.0
-1.1359 -3.3700 0.2893
3.4869 0.7305 0.1972
-1.2921 1.8189 16.1121
In Tm Ho C
2 1 3 2
direct
0.6667 0.3333 0.2486 In
0.0000 0.0000 0.7502 In
0.0000 0.0000 0.0825 Tm
0.6667 0.3333 0.9186 Ho
0.0000 0.0000 0.4168 Ho
0.6667 0.3333 0.5825 Ho
0.3333 0.6667 0.0010 C
0.3333 0.6667 0.4997 C
```

Output
The calculation puts the total energy at -45.43 eV per formula unit. The calculation puts the total magnetization at 0.2 μB per formula unit.